La5PbSe4: relaxed, PBE-GGA.

Summary:
calculated density = 6.72 g/cm³
raw total energy = -5.944 eV/atom

Cell: 7.617 7.617 7.617 Å, 99.61 99.61 131.77°
Element x y z (fractional)
La (0.000, 0.000, 0.000)
La (0.191, 0.603, 0.793)
La (0.397, 0.191, 0.588)
La (0.603, 0.809, 0.412)
La (0.809, 0.397, 0.207)
Pb (0.500, 0.500, 0.000)
Se (0.104, 0.299, 0.404)
Se (0.299, 0.896, 0.195)
Se (0.701, 0.104, 0.805)
Se (0.896, 0.701, 0.596)